# 1
Density functional theory data (PBE) for a geometry-optimized In2TcSb structure.

Output
**Total magnetization**: 0.01 μB/f.u.
**Formation energy (no corrections)**: 0.52 eV/atom
**Space group**: No. 123
**Density of states at the Fermi level**: 3.94 states/eV/f.u.

Geometry as CIF:
```
data_In2TcSb
_chemical_formula_sum 'In2 Tc1 Sb1'
_symmetry_space_group_name_H-M 'P 1'
_symmetry_Int_Tables_number 1
_cell_length_a 4.8279
_cell_length_b 4.8279
_cell_length_c 3.6675
_cell_angle_alpha 90.00
_cell_angle_beta 90.00
_cell_angle_gamma 90.00
loop_
_symmetry_equiv_pos_as_xyz
'x,y,z'
loop_
_atom_site_label
_atom_site_fract_x
_atom_site_fract_y
_atom_site_fract_z
Tc1 0.0000 0.5000 0.5000
Sb1 0.5000 0.0000 0.5000
In1 0.5000 0.5000 0.0000
In2 0.0000 0.0000 0.0000
```

=====

# 2
Density functional theory data (PBE) for a geometry-optimized PmGa2Mo structure.

Output
**Total magnetization**: 0.00 μB/f.u.
**Space group**: No. 166
**DFT formation energy**: 0.27 eV per formula unit
**Density of states at the Fermi level**: 3.00 states/eV/f.u.

Geometry as CIF:
```
data_PmGa2Mo
_chemical_formula_sum 'Pm1 Ga2 Mo1'
_symmetry_space_group_name_H-M 'P 1'
_symmetry_Int_Tables_number 1
_cell_length_a 3.0832
_cell_length_b 3.0832
_cell_length_c 9.7118
_cell_angle_alpha 80.87
_cell_angle_beta 80.87
_cell_angle_gamma 60.00
loop_
_symmetry_equiv_pos_as_xyz
'x,y,z'
loop_
_atom_site_label
_atom_site_fract_x
_atom_site_fract_y
_atom_site_fract_z
Ga1 0.2603 0.2603 0.2192
Ga2 0.7397 0.7397 0.7808
Pm1 0.5000 0.5000 0.5000
Mo1 0.0000 0.0000 0.0000
```

=====

# 3
Density functional theory data (PBE) for a geometry-optimized CeMgOs structure.

Output
**Total magnetization**: 0.00 μB/f.u.
**Space group**: No. 107
**DFT formation energy**: -0.05 eV per formula unit
**Density of states at the Fermi level**: 3.01 states/eV/f.u.

Geometry as CIF:
```
data_CeMgOs
_chemical_formula_sum 'Ce1 Mg1 Os1'
_symmetry_space_group_name_H-M 'P 1'
_symmetry_Int_Tables_number 1
_cell_length_a 3.2776
_cell_length_b 3.2776
_cell_length_c 6.5120
_cell_angle_alpha 104.58
_cell_angle_beta 104.58
_cell_angle_gamma 90.00
loop_
_symmetry_equiv_pos_as_xyz
'x,y,z'
loop_
_atom_site_label
_atom_site_fract_x
_atom_site_fract_y
_atom_site_fract_z
Mg1 0.9843 0.9843 0.9687
Ce1 0.2502 0.2502 0.5005
Os1 0.6154 0.6154 0.2309
```

=====

# 4
Density functional theory data (PBE) for a geometry-optimized GeSe2BrN structure.

Output
**Total magnetization**: 0.00 μB/f.u.
**Formation energy (no corrections)**: 0.87 eV/atom
**Space group**: No. 123
**E above lowest polymorph**: 18.5 meV/atom
**Density of states at the Fermi level**: 2.45 states/eV/f.u.

Geometry as CIF:
```
data_GeSe2BrN
_chemical_formula_sum 'Ge1 Se2 Br1 N1'
_symmetry_space_group_name_H-M 'P 1'
_symmetry_Int_Tables_number 1
_cell_length_a 4.5470
_cell_length_b 4.5470
_cell_length_c 4.5802
_cell_angle_alpha 90.00
_cell_angle_beta 90.00
_cell_angle_gamma 90.00
loop_
_symmetry_equiv_pos_as_xyz
'x,y,z'
loop_
_atom_site_label
_atom_site_fract_x
_atom_site_fract_y
_atom_site_fract_z
Ge1 0.5000 0.5000 0.5000
Se1 0.0000 0.5000 0.0000
Se2 0.5000 0.0000 0.0000
Br1 0.0000 0.0000 0.5000
N1 0.0000 0.0000 0.0000
```

=====

# 5
Density functional theory data (PBE) for a geometry-optimized Li2Ag5Au5 structure.

Output
**Total magnetization**: 0.00 μB/f.u.
**Space group**: No. 12
**DFT formation energy**: -2.46 eV per formula unit
**E above lowest polymorph**: 0.0 meV/atom
**Density of states at the Fermi level**: 3.05 states/eV/f.u.

Geometry as CIF:
```
data_Li2Ag5Au5
_chemical_formula_sum 'Li2 Ag5 Au5'
_symmetry_space_group_name_H-M 'P 1'
_symmetry_Int_Tables_number 1
_cell_length_a 4.0759
_cell_length_b 6.5197
_cell_length_c 8.7156
_cell_angle_alpha 72.68
_cell_angle_beta 76.48
_cell_angle_gamma 71.79
loop_
_symmetry_equiv_pos_as_xyz
'x,y,z'
loop_
_atom_site_label
_atom_site_fract_x
_atom_site_fract_y
_atom_site_fract_z
Au1 0.3321 0.3355 0.0003
Au2 0.4205 0.9073 0.2516
Au3 0.5795 0.0927 0.7484
Au4 0.6679 0.6645 0.9997
Au5 0.5000 0.5000 0.5000
Ag1 0.1646 0.1705 0.5003
Ag2 0.8354 0.8295 0.4997
Ag3 0.0000 0.0000 0.0000
Ag4 0.7465 0.2561 0.2509
Ag5 0.2535 0.7439 0.7491
Li1 0.0839 0.5875 0.2447
Li2 0.9161 0.4125 0.7553
```

=====

# 6
Density functional theory data (PBE) for a geometry-optimized Ag3Hg5F12 structure.

Output
**Total magnetization**: 0.00 μB/f.u.
**Formation energy (no corrections)**: -1.19 eV/atom
**Space group**: No. 230
**Density of states at the Fermi level**: 1.32 states/eV/f.u.

Geometry as CIF:
```
data_Ag3Hg5F12
_chemical_formula_sum 'Ag12 Hg20 F48'
_symmetry_space_group_name_H-M 'P 1'
_symmetry_Int_Tables_number 1
_cell_length_a 12.2302
_cell_length_b 12.2302
_cell_length_c 12.2302
_cell_angle_alpha 109.47
_cell_angle_beta 109.47
_cell_angle_gamma 109.47
loop_
_symmetry_equiv_pos_as_xyz
'x,y,z'
loop_
_atom_site_label
_atom_site_fract_x
_atom_site_fract_y
_atom_site_fract_z
Hg1 0.7500 0.6250 0.3750
Hg2 0.3750 0.1250 0.7500
Hg3 0.5000 0.5000 0.0000
Hg4 0.6250 0.8750 0.2500
Hg5 0.5000 0.5000 0.5000
Hg6 0.1250 0.7500 0.3750
Hg7 0.8750 0.2500 0.6250
Hg8 0.0000 0.0000 0.0000
Hg9 0.5000 0.0000 0.0000
Hg10 0.6250 0.7500 0.8750
Hg11 0.7500 0.1250 0.8750
Hg12 0.8750 0.6250 0.7500
Hg13 0.3750 0.2500 0.1250
Hg14 0.0000 0.5000 0.5000
Hg15 0.2500 0.8750 0.1250
Hg16 0.5000 0.0000 0.5000
Hg17 0.0000 0.0000 0.5000
Hg18 0.0000 0.5000 0.0000
Hg19 0.2500 0.3750 0.6250
Hg20 0.1250 0.3750 0.2500
F1 0.6023 0.8810 0.4276
F2 0.6747 0.4535 0.5724
F3 0.1190 0.7212 0.5465
F4 0.1747 0.0724 0.9535
F5 0.2788 0.3977 0.8253
F6 0.8253 0.8977 0.2788
F7 0.5724 0.9535 0.6747
F8 0.1023 0.9276 0.3810
F9 0.6190 0.5724 0.8977
F10 0.7788 0.4535 0.3810
F11 0.1023 0.1747 0.2212
F12 0.9276 0.1023 0.8810
F13 0.8810 0.2788 0.4535
F14 0.8253 0.9276 0.0465
F15 0.5465 0.3253 0.9276
F16 0.3810 0.9535 0.7788
F17 0.4276 0.0465 0.3253
F18 0.6190 0.0465 0.2212
F19 0.9535 0.3810 0.2788
F20 0.4535 0.6747 0.0724
F21 0.3977 0.1190 0.5724
F22 0.7212 0.1190 0.0465
F23 0.7788 0.3253 0.8977
F24 0.8810 0.6023 0.9276
F25 0.5724 0.6190 0.3977
F26 0.9535 0.5724 0.1747
F27 0.0465 0.6190 0.7212
F28 0.2212 0.6747 0.1023
F29 0.4535 0.7788 0.8810
F30 0.6023 0.7212 0.6747
F31 0.0724 0.1747 0.4535
F32 0.2788 0.8810 0.9535
F33 0.3977 0.2788 0.3253
F34 0.0724 0.8977 0.1190
F35 0.5465 0.2212 0.1190
F36 0.1190 0.3977 0.0724
F37 0.9276 0.8253 0.5465
F38 0.1747 0.1023 0.7212
F39 0.8977 0.0724 0.6190
F40 0.2212 0.5465 0.6190
F41 0.6747 0.2212 0.6023
F42 0.8977 0.8253 0.7788
F43 0.0465 0.4276 0.8253
F44 0.3253 0.5465 0.4276
F45 0.4276 0.3810 0.6023
F46 0.3253 0.7788 0.3977
F47 0.3810 0.4276 0.1023
F48 0.7212 0.6023 0.1747
Ag1 0.3750 0.6250 0.2500
Ag2 0.1250 0.2500 0.8750
Ag3 0.8750 0.1250 0.2500
Ag4 0.7500 0.3750 0.1250
Ag5 0.3750 0.7500 0.6250
Ag6 0.6250 0.3750 0.7500
Ag7 0.2500 0.6250 0.8750
Ag8 0.2500 0.1250 0.3750
Ag9 0.8750 0.7500 0.1250
Ag10 0.6250 0.2500 0.3750
Ag11 0.1250 0.8750 0.7500
Ag12 0.7500 0.8750 0.6250
```